Entry from Alexandria via LeMat-Bulk: crystalline Co2TcIr2 at its relaxed geometry (PBE).

```
Co2TcIr2
1.0
6.991 0.000 0.000
0.000 6.991 0.000
0.000 0.000 2.703
Co Tc Ir
4 2 4
direct
0.121 0.379 0.000
0.379 0.879 0.000
0.621 0.121 0.000
0.879 0.621 0.000
0.000 0.000 0.000
0.500 0.500 0.000
0.176 0.676 0.500
0.324 0.176 0.500
0.676 0.824 0.500
0.824 0.324 0.500
```

Polymorph energy (0 for the lowest one)   0.00 eV per formula unit
Magnetization   3.94 Bohr magnetons per cell
Energy relative to the elements   0.80 eV/f.u.